1.
Here is an optimized crystal structure of Sm8Ga3Co from the Open Quantum Materials Database. Energies are from PBE-GGA.

Computed properties:
Its space group is P6_3mc, No. 186. Its total energy is -116.42 eV/cell. For the size of the total moment, the calculation gives 0.023 μB/cell.

Unit cell a=10.2868 b=10.2867 c=6.9898 alpha=90.00 beta=90.00 gamma=120.00
With the nearest neighbours (Å) after each atom.
Sites, in units of the cell vectors:
Ga (0.1639, 0.8361, 0.5382)  7 Sm 3.01-3.34
Ga (0.8361, 0.1639, 0.0382)  7 Sm 3.01-3.34
Ga (0.6721, 0.8361, 0.5382)  7 Sm 3.01-3.34
Ga (0.3279, 0.1639, 0.0382)  7 Sm 3.01-3.34
Ga (0.8361, 0.6721, 0.0382)  7 Sm 3.01-3.34
Ga (0.1639, 0.3279, 0.5382)  7 Sm 3.01-3.34
Sm (0.6667, 0.3333, 0.1759)  1 Co 2.67
Sm (0.3333, 0.6667, 0.6759)  1 Co 2.67
Sm (0.5375, 0.0750, 0.7921)  1 Co 2.82
Sm (0.4625, 0.5375, 0.2921)  1 Co 2.82
Sm (0.8286, 0.1714, 0.4894)  1 Co 2.93, 3 Ga 3.01-3.16
Sm (0.0750, 0.5375, 0.2921)  1 Co 2.82
Sm (0.0000, 0.0000, 0.7697)  6 Ga 3.34-3.47, 8 Sm 3.42-3.63
Sm (0.5375, 0.4625, 0.7921)  1 Co 2.82
Sm (0.1714, 0.3427, 0.9894)  1 Co 2.93, 3 Ga 3.01-3.16
Sm (0.6573, 0.8286, 0.9894)  1 Co 2.93, 3 Ga 3.01-3.16
Sm (0.4625, 0.9250, 0.2921)  1 Co 2.82
Sm (0.3427, 0.1714, 0.4894)  1 Co 2.93, 3 Ga 3.01-3.16
Sm (0.1714, 0.8286, 0.9894)  1 Co 2.93, 3 Ga 3.01-3.16
Sm (0.0000, 0.0000, 0.2697)  6 Ga 3.34-3.47, 8 Sm 3.42-3.63
Sm (0.9250, 0.4625, 0.7921)  1 Co 2.82
Sm (0.8286, 0.6573, 0.4894)  1 Co 2.93, 3 Ga 3.01-3.16
Co (0.3333, 0.6667, 0.0581)  7 Sm 2.67-2.93
Co (0.6667, 0.3333, 0.5581)  7 Sm 2.67-2.93



2.
Here is an optimized crystal structure of Sm3GaCo3 from the Open Quantum Materials Database. Energies are from PBE-GGA.

Computed properties:
Its space group is Cmcm, No. 63. Its total energy is -80.78 eV/cell. For the size of the total moment, the calculation gives 2.168 μB/cell.

Unit cell a=4.1825 b=5.4811 c=13.0838 alpha=90.00 beta=90.00 gamma=67.57
With the nearest neighbours (Å) after each atom.
Sites, in units of the cell vectors:
Sm (0.7929, 0.4141, 0.8974)  6 Co 2.87-3.01
Sm (0.7929, 0.4141, 0.6026)  6 Co 2.87-3.01
Sm (0.2071, 0.5859, 0.3974)  6 Co 2.87-3.01
Sm (0.4972, 0.0057, 0.2500)  7 Co 2.87-3.10
Sm (0.5028, 0.9943, 0.7500)  7 Co 2.87-3.10
Sm (0.2071, 0.5859, 0.1026)  6 Co 2.87-3.01
Co (0.0822, 0.8355, 0.5945)  1 Co 2.34, 2 Ga 2.57
Co (0.9178, 0.1645, 0.0945)  1 Co 2.34, 2 Ga 2.57
Co (0.9178, 0.1645, 0.4055)  1 Co 2.34, 2 Ga 2.57
Co (0.1968, 0.6063, 0.7500)  2 Co 2.34
Co (0.8032, 0.3937, 0.2500)  2 Co 2.34
Co (0.0822, 0.8355, 0.9055)  1 Co 2.34, 2 Ga 2.57
Ga (0.5000, 0.0000, 0.0000)  4 Co 2.57
Ga (0.5000, 0.0000, 0.5000)  4 Co 2.57



3.
Here is an optimized crystal structure of SmGa2Co from the Open Quantum Materials Database. Energies are from PBE-GGA.

Computed properties:
Its space group is Cmmm, No. 65. Its total energy is -40.01 eV/cell. For the size of the total moment, the calculation gives 0.005 μB/cell.

Unit cell a=4.0571 b=4.1290 c=9.1231 alpha=76.92 beta=90.00 gamma=90.00
With the nearest neighbours (Å) after each atom.
Sites, in units of the cell vectors:
Ga (0.5000, 0.2923, 0.4154)  1 Co 2.39, 2 Ga 2.55
Ga (0.5000, 0.7077, 0.5846)  1 Co 2.39, 2 Ga 2.55
Ga (0.0000, 0.5000, 0.0000)  4 Co 2.41
Ga (0.5000, 0.0000, 0.0000)  4 Co 2.44
Co (0.5000, 0.4269, 0.1462)  5 Ga 2.39-2.44, 1 Co 2.60
Co (0.5000, 0.5731, 0.8538)  5 Ga 2.39-2.44, 1 Co 2.60
Sm (0.0000, 0.1423, 0.7154)  10 Ga 3.12-3.35, 4 Co 3.14
Sm (0.0000, 0.8577, 0.2846)  10 Ga 3.12-3.35, 4 Co 3.14



4.
Here is an optimized crystal structure of Sm2Ga9Co3 from the Open Quantum Materials Database. Energies are from PBE-GGA.

Computed properties:
Its space group is Cmcm, No. 63. Its total energy is -129.51 eV/cell. For the size of the total moment, the calculation gives 0.000 μB/cell.

Unit cell a=7.4272 b=7.3969 c=9.5170 alpha=90.00 beta=90.00 gamma=59.86
With the nearest neighbours (Å) after each atom.
Sites, in units of the cell vectors:
Ga (0.5479, 0.7883, 0.7500)  2 Co 2.55, 6 Ga 2.71-2.83
Ga (0.3350, 0.0000, 0.0556)  3 Co 2.54-2.56, 5 Ga 2.67-2.83
Ga (0.6659, 0.3323, 0.0706)  3 Co 2.53-2.56, 4 Ga 2.74-2.81
Ga (0.8762, 0.0000, 0.2500)  2 Co 2.55, 6 Ga 2.72-2.75
Ga (0.6638, 0.7883, 0.2500)  2 Co 2.55, 6 Ga 2.71-2.83
Ga (0.6650, 0.0000, 0.9444)  3 Co 2.54-2.56, 5 Ga 2.67-2.83
Ga (0.0019, 0.3323, 0.9294)  3 Co 2.53-2.56, 4 Ga 2.74-2.81
Ga (0.3341, 0.6677, 0.5706)  3 Co 2.53-2.56, 4 Ga 2.74-2.81
Ga (0.0019, 0.3323, 0.5706)  3 Co 2.53-2.56, 4 Ga 2.74-2.81
Ga (0.9981, 0.6677, 0.0706)  3 Co 2.53-2.56, 4 Ga 2.74-2.81
Ga (0.3350, 0.0000, 0.4444)  3 Co 2.54-2.56, 5 Ga 2.67-2.83
Ga (0.3362, 0.2117, 0.7500)  2 Co 2.55, 6 Ga 2.71-2.83
Ga (0.9981, 0.6677, 0.4294)  3 Co 2.53-2.56, 4 Ga 2.74-2.81
Ga (0.1238, 0.0000, 0.7500)  2 Co 2.55, 6 Ga 2.72-2.75
Ga (0.3341, 0.6677, 0.9294)  3 Co 2.53-2.56, 4 Ga 2.74-2.81
Ga (0.6650, 0.0000, 0.5556)  3 Co 2.54-2.56, 5 Ga 2.67-2.83
Ga (0.6659, 0.3323, 0.4294)  3 Co 2.53-2.56, 4 Ga 2.74-2.81
Ga (0.4521, 0.2117, 0.2500)  2 Co 2.55, 6 Ga 2.71-2.83
Co (0.3297, 0.3407, 0.0000)  8 Ga 2.53-2.56
Co (0.3297, 0.3407, 0.5000)  8 Ga 2.53-2.56
Co (0.0000, 0.0000, 0.5000)  8 Ga 2.54-2.55
Co (0.6703, 0.6593, 0.5000)  8 Ga 2.53-2.56
Co (0.6703, 0.6593, 0.0000)  8 Ga 2.53-2.56
Co (0.0000, 0.0000, 0.0000)  8 Ga 2.54-2.55
Sm (0.0034, 0.3282, 0.2500)  11 Ga 2.99-3.06
Sm (0.6684, 0.3282, 0.7500)  11 Ga 2.99-3.06
Sm (0.9966, 0.6718, 0.7500)  11 Ga 2.99-3.06
Sm (0.3316, 0.6718, 0.2500)  11 Ga 2.99-3.06



5.
Here is an optimized crystal structure of Sm2Ga2Co15 from the Open Quantum Materials Database. Energies are from PBE-GGA.

Computed properties:
Its space group is R-3m, No. 166. Its total energy is -121.61 eV/cell. For the size of the total moment, the calculation gives 0.167 μB/cell.

Unit cell a=6.3378 b=6.3378 c=6.3378 alpha=83.08 beta=96.92 gamma=96.92
With the nearest neighbours (Å) after each atom.
Sites, in units of the cell vectors:
Co (0.0000, 0.5000, 0.0000)  8 Co 2.39-2.43, 2 Ga 2.54
Co (0.0000, 0.7130, 0.2870)  8 Co 2.39-2.57
Co (0.8496, 0.6510, 0.6510)  8 Co 2.43-2.57, 1 Ga 2.60
Co (0.3490, 0.6510, 0.1504)  8 Co 2.43-2.57, 1 Ga 2.60
Co (0.6510, 0.8496, 0.3490)  8 Co 2.43-2.57, 1 Ga 2.60
Co (0.1504, 0.3490, 0.3490)  8 Co 2.43-2.57, 1 Ga 2.60
Co (0.7130, 0.0000, 0.7130)  8 Co 2.39-2.57
Co (0.0000, 0.2870, 0.7130)  8 Co 2.39-2.57
Co (0.0000, 0.0000, 0.5000)  8 Co 2.39-2.43, 2 Ga 2.54
Co (0.2870, 0.2870, 0.0000)  8 Co 2.39-2.57
Co (0.2870, 0.0000, 0.2870)  8 Co 2.39-2.57
Co (0.6510, 0.3490, 0.8496)  8 Co 2.43-2.57, 1 Ga 2.60
Co (0.7130, 0.7130, 0.0000)  8 Co 2.39-2.57
Co (0.5000, 0.0000, 0.0000)  8 Co 2.39-2.43, 2 Ga 2.54
Co (0.3490, 0.1504, 0.6510)  8 Co 2.43-2.57, 1 Ga 2.60
Ga (0.8936, 0.1064, 0.1064)  12 Co 2.54-2.74, 1 Ga 2.60
Ga (0.1064, 0.8936, 0.8936)  12 Co 2.54-2.74, 1 Ga 2.60
Sm (0.6486, 0.3514, 0.3514)  15 Co 2.92-3.18, 1 Ga 3.00
Sm (0.3514, 0.6486, 0.6486)  15 Co 2.92-3.18, 1 Ga 3.00



6.
Here is an optimized crystal structure of Sm6GaCo2 from the Open Quantum Materials Database. Energies are from PBE-GGA.

Computed properties:
Its space group is Immm, No. 71. Its total energy is -95.06 eV/cell. For the size of the total moment, the calculation gives 0.005 μB/cell.

Unit cell a=8.4494 b=8.4494 c=8.4494 alpha=109.27 beta=107.01 gamma=112.17
With the nearest neighbours (Å) after each atom.
Sites, in units of the cell vectors:
Co (0.5000, 0.8381, 0.3381)  8 Sm 2.75-3.07
Co (0.5000, 0.1619, 0.6619)  8 Sm 2.75-3.07
Co (0.8875, 0.0000, 0.8875)  1 Co 2.26
Co (0.1125, 0.0000, 0.1125)  1 Co 2.26
Sm (0.2632, 0.6967, 0.9599)  1 Co 2.75, 1 Ga 3.06
Sm (0.2183, 0.3991, 0.1808)  3 Co 2.94-3.07, 1 Ga 3.19
Sm (0.7817, 0.6009, 0.8192)  3 Co 2.94-3.07, 1 Ga 3.19
Sm (0.8618, 0.1877, 0.6741)  3 Co 2.78-2.95
Sm (0.2183, 0.0374, 0.8192)  3 Co 2.94-3.07, 1 Ga 3.19
Sm (0.7368, 0.3033, 0.0401)  1 Co 2.75, 1 Ga 3.06
Sm (0.5137, 0.1877, 0.3259)  3 Co 2.78-2.95
Sm (0.7368, 0.6967, 0.4335)  1 Co 2.75, 1 Ga 3.06
Sm (0.1382, 0.8123, 0.3259)  3 Co 2.78-2.95
Sm (0.2632, 0.3033, 0.5665)  1 Co 2.75, 1 Ga 3.06
Sm (0.7817, 0.9626, 0.1808)  3 Co 2.94-3.07, 1 Ga 3.19
Sm (0.4863, 0.8123, 0.6741)  3 Co 2.78-2.95
Ga (0.0000, 0.5000, 0.5000)  8 Sm 3.27-3.42
Ga (0.5000, 0.5000, 0.0000)  8 Sm 3.06-3.19, 2 Co 3.31



7.
Here is an optimized crystal structure of SmGa5Co from the Open Quantum Materials Database. Energies are from PBE-GGA.

Computed properties:
Its space group is P4/mmm, No. 123. Its total energy is -30.21 eV/cell. For the size of the total moment, the calculation gives 0.002 μB/cell.

Unit cell a=4.2465 b=4.2465 c=6.8810 alpha=90.00 beta=90.00 gamma=90.00
With the nearest neighbours (Å) after each atom.
Sites, in units of the cell vectors:
Ga (0.5000, 0.0000, 0.6864)  2 Co 2.48, 1 Ga 2.57
Ga (0.5000, 0.0000, 0.3136)  2 Co 2.48, 1 Ga 2.57
Ga (0.5000, 0.5000, 0.0000)  4 Sm 3.00, 8 Ga 3.03
Ga (0.0000, 0.5000, 0.6864)  2 Co 2.48, 1 Ga 2.57
Ga (0.0000, 0.5000, 0.3136)  2 Co 2.48, 1 Ga 2.57
Sm (0.0000, 0.0000, 0.0000)  12 Ga 3.00-3.03
Co (0.0000, 0.0000, 0.5000)  8 Ga 2.48



8.
Here is an optimized crystal structure of SmY2Ga2Co4 from the Open Quantum Materials Database. Energies are from PBE-GGA.

Computed properties:
Its space group is C2/m, No. 12. Its total energy is -55.35 eV/cell. For the size of the total moment, the calculation gives 0.011 μB/cell.

Unit cell a=5.3504 b=5.3504 c=8.1107 alpha=98.44 beta=98.44 gamma=44.80
With the nearest neighbours (Å) after each atom.
Sites, in units of the cell vectors:
Y (0.6273, 0.6273, 0.3768)  6 Co 2.80-2.95, 1 Ga 3.07
Y (0.3727, 0.3727, 0.6232)  6 Co 2.80-2.95, 1 Ga 3.07
Co (0.2596, 0.2596, 0.9191)  3 Ga 2.43-2.47, 2 Co 2.45
Co (0.9201, 0.9201, 0.3766)  1 Co 2.35, 2 Ga 2.49
Co (0.0799, 0.0799, 0.6234)  1 Co 2.35, 2 Ga 2.49
Co (0.7404, 0.7404, 0.0809)  3 Ga 2.43-2.47, 2 Co 2.45
Ga (0.3217, 0.3217, 0.2269)  5 Co 2.43-2.49
Ga (0.6783, 0.6783, 0.7731)  5 Co 2.43-2.49
Sm (0.0000, 0.0000, 0.0000)  2 Co 2.75



9.
Here is an optimized crystal structure of SrGa2Co from the Open Quantum Materials Database. Energies are from PBE-GGA.

Computed properties:
Its space group is F-43m, No. 216. Its total energy is -13.99 eV/cell. For the size of the total moment, the calculation gives 1.414 μB/cell.

Unit cell a=4.7817 b=4.7817 c=4.7817 alpha=60.00 beta=60.00 gamma=60.00
With the nearest neighbours (Å) after each atom.
Sites, in units of the cell vectors:
Sr (0.5000, 0.5000, 0.5000)  4 Ga 2.93, 4 Co 2.93
Ga (0.7500, 0.7500, 0.7500)  4 Sr 2.93, 4 Ga 2.93
Ga (0.0000, 0.0000, 0.0000)  4 Co 2.93, 4 Ga 2.93
Co (0.2500, 0.2500, 0.2500)  4 Ga 2.93, 4 Sr 2.93



10.
Here is an optimized crystal structure of Ta4GaCo from the Open Quantum Materials Database. Energies are from PBE-GGA.

Computed properties:
Its space group is I422, No. 97. Its total energy is -58.69 eV/cell. Its energy above the most stable polymorph in this dataset is 0.055 eV/atom. For the size of the total moment, the calculation gives 0.003 μB/cell.

Unit cell a=5.0797 b=5.0797 c=5.0797 alpha=103.81 beta=103.81 gamma=121.51
With the nearest neighbours (Å) after each atom.
Sites, in units of the cell vectors:
Co (0.0000, 0.0000, 0.0000)  2 Ga 2.48, 8 Ta 2.67
Ga (0.5000, 0.5000, 0.0000)  2 Co 2.48, 8 Ta 2.67
Ta (0.0924, 0.9076, 0.5000)  2 Ga 2.67, 2 Co 2.67, 3 Ta 2.79-2.97
Ta (0.4076, 0.5924, 0.5000)  2 Co 2.67, 2 Ga 2.67, 3 Ta 2.79-2.97
Ta (0.5924, 0.0924, 0.1848)  2 Co 2.67, 2 Ga 2.67, 3 Ta 2.79-2.97
Ta (0.9076, 0.4076, 0.8152)  2 Co 2.67, 2 Ga 2.67, 3 Ta 2.79-2.97



11.
Here is an optimized crystal structure of Ta4GaCo from the Open Quantum Materials Database. Energies are from PBE-GGA.

Computed properties:
Its space group is P4/mcc, No. 124. Its total energy is -118.04 eV/cell. Its energy above the most stable polymorph in this dataset is 0.000 eV/atom. For the size of the total moment, the calculation gives 0.011 μB/cell.

Unit cell a=6.2539 b=6.2539 c=5.0277 alpha=90.00 beta=90.00 gamma=90.00
With the nearest neighbours (Å) after each atom.
Sites, in units of the cell vectors:
Ta (0.3298, 0.8543, 0.0000)  2 Co 2.58, 2 Ga 2.76, 1 Ta 2.80
Ta (0.6702, 0.1457, 0.0000)  2 Co 2.58, 2 Ga 2.76, 1 Ta 2.80
Ta (0.3298, 0.1457, 0.5000)  2 Co 2.58, 2 Ga 2.76, 1 Ta 2.80
Ta (0.1457, 0.6702, 0.5000)  2 Co 2.58, 2 Ga 2.76, 1 Ta 2.80
Ta (0.8543, 0.3298, 0.5000)  2 Co 2.58, 2 Ga 2.76, 1 Ta 2.80
Ta (0.6702, 0.8543, 0.5000)  2 Co 2.58, 2 Ga 2.76, 1 Ta 2.80
Ta (0.8543, 0.6702, 0.0000)  2 Co 2.58, 2 Ga 2.76, 1 Ta 2.80
Ta (0.1457, 0.3298, 0.0000)  2 Co 2.58, 2 Ga 2.76, 1 Ta 2.80
Ga (0.5000, 0.5000, 0.7500)  2 Ga 2.51, 8 Ta 2.76
Ga (0.5000, 0.5000, 0.2500)  2 Ga 2.51, 8 Ta 2.76
Co (0.0000, 0.0000, 0.2500)  2 Co 2.51, 8 Ta 2.58
Co (0.0000, 0.0000, 0.7500)  2 Co 2.51, 8 Ta 2.58



12.
Here is an optimized crystal structure of TaGa2Co from the Open Quantum Materials Database. Energies are from PBE-GGA.

Computed properties:
Its space group is F-43m, No. 216. Its total energy is -24.82 eV/cell. For the size of the total moment, the calculation gives 0.001 μB/cell.

Unit cell a=4.3634 b=4.3634 c=4.3634 alpha=60.00 beta=60.00 gamma=60.00
With the nearest neighbours (Å) after each atom.
Sites, in units of the cell vectors:
Ga (0.0000, 0.0000, 0.0000)  4 Ga 2.67, 4 Co 2.67
Ga (0.7500, 0.7500, 0.7500)  4 Ta 2.67, 4 Ga 2.67
Ta (0.5000, 0.5000, 0.5000)  4 Ga 2.67, 4 Co 2.67
Co (0.2500, 0.2500, 0.2500)  4 Ta 2.67, 4 Ga 2.67